Entry from Alexandria via LeMat-Bulk: crystalline PmCu4Ge4 at its relaxed geometry (GGA-PBE).

```
PmCu4Ge4
1.0
6.281 0.000 0.000
0.000 6.281 0.000
0.000 0.000 7.957
Pm Cu Ge
2 8 8
Cartesian
1.570 4.711 1.989
4.711 1.570 5.968
0.341 1.570 0.816
1.570 0.341 4.795
1.570 2.800 4.795
2.800 1.570 0.816
3.482 4.711 7.141
4.711 3.482 3.162
4.711 5.941 3.162
5.941 4.711 7.141
0.037 1.570 3.213
1.570 0.037 7.192
1.570 3.104 7.192
3.104 1.570 3.213
3.178 4.711 4.743
4.711 3.178 0.765
4.711 6.244 0.765
6.244 4.711 4.743
```

Properties
energy = -4.521 eV per atom
space-group type = No. 137
E_form = -2.8 kcal/mol of atoms